Record 1
# TiRhBr3 | Alexandria | PBE-GGA | optimized geometry
data_TiRhBr3
_chemical_formula_sum 'Ti1 Rh1 Br3'
_symmetry_space_group_name_H-M 'P m -3 m'
_symmetry_Int_Tables_number 221
_symmetry_space_group_name_Hall '-P 4 2 3'
_cell_length_a 5.059
_cell_length_b 5.059
_cell_length_c 5.059
_cell_angle_alpha 90.00
_cell_angle_beta 90.00
_cell_angle_gamma 90.00
loop_
_atom_site_label
_atom_site_type_symbol
_atom_site_fract_x
_atom_site_fract_y
_atom_site_fract_z
_atom_site_occupancy
Ti1 Ti 0.000 0.000 0.000 1
Rh1 Rh 0.500 0.500 0.500 1
Br1 Br 0.000 0.000 0.500 1
# density of states at the Fermi level = 11.0 states/eV/cell
# distance to the lowest polymorph of the same formula = 0.0 kJ per mole of atoms
# energy relative to the elements, uncorrected = 0.18 eV per atom

Record 2
# ErTh2Cd | Alexandria | PBE-GGA | optimized geometry
data_ErTh2Cd
_chemical_formula_sum 'Er4 Th8 Cd4'
_symmetry_space_group_name_H-M 'F m -3 m'
_symmetry_Int_Tables_number 225
_symmetry_space_group_name_Hall '-F 4 2 3'
_cell_length_a 7.793
_cell_length_b 7.793
_cell_length_c 7.793
_cell_angle_alpha 90.00
_cell_angle_beta 90.00
_cell_angle_gamma 90.00
loop_
_atom_site_label
_atom_site_type_symbol
_atom_site_fract_x
_atom_site_fract_y
_atom_site_fract_z
_atom_site_occupancy
Er1 Er 0.000 0.000 0.000 1
Th1 Th 0.250 0.250 0.250 1
Cd1 Cd 0.000 0.000 0.500 1
# energy relative to the elements = 0.089 eV per atom
# density of states at the Fermi level = 16.2 states/eV/cell
# distance to the lowest polymorph of the same formula = 7.8 kJ per mole of atoms

Record 3
# PmY9Er2 | Alexandria | PBE-GGA | optimized geometry
data_PmY9Er2
_chemical_formula_sum 'Pm1 Y9 Er2'
_symmetry_space_group_name_H-M 'P 4/m m m'
_symmetry_Int_Tables_number 123
_symmetry_space_group_name_Hall '-P 4 2'
_cell_length_a 5.046
_cell_length_b 5.046
_cell_length_c 15.142
_cell_angle_alpha 90.00
_cell_angle_beta 90.00
_cell_angle_gamma 90.00
loop_
_atom_site_label
_atom_site_type_symbol
_atom_site_fract_x
_atom_site_fract_y
_atom_site_fract_z
_atom_site_occupancy
Pm1 Pm 0.000 0.000 0.000 1
Y1 Y 0.000 0.500 0.169 1
Y2 Y 0.000 0.500 0.500 1
Y3 Y 0.500 0.500 0.000 1
Y4 Y 0.500 0.500 0.335 1
Er1 Er 0.000 0.000 0.334 1
# energy relative to the elements = 0.026 eV per atom
# density of states at the Fermi level = 18.1 states/eV/cell